Model i:
The following is a DFT calculation (PBE) of an optimized crystal structure of BeZnCoSn.

Computed properties:
Its space group is F-43m, No. 216. As for the volume: 13.7 Å³ per atom. The value obtained for the theoretical density is 7623 kg/m3.

Geometry as CIF:
```
data_BeZnCoSn
_chemical_formula_sum 'Be1 Zn1 Co1 Sn1'
_space_group_name_H-M_alt 'P 1'
_space_group_IT_number 1
_cell_length_a 4.266
_cell_length_b 4.266
_cell_length_c 4.266
_cell_angle_alpha 60.00
_cell_angle_beta 60.00
_cell_angle_gamma 60.00
loop_
_space_group_symop_operation_xyz
'x,y,z'
loop_
_atom_site_label
_atom_site_type_symbol
_atom_site_fract_x
_atom_site_fract_y
_atom_site_fract_z
Co1 Co 0.500 0.500 0.500
Be1 Be 0.750 0.750 0.750
Zn1 Zn 0.250 0.250 0.250
Sn1 Sn 0.000 0.000 0.000
```

=====

Model ii:
The following is a DFT calculation (PBE) of an optimized crystal structure of BeZnCoSn.

Computed properties:
Its space group is F-43m, No. 216. As for the volume: 13.6 Å³ per atom. The value obtained for the theoretical density is 7718 kg/m3.

Geometry as CIF:
```
data_BeZnCoSn
_chemical_formula_sum 'Be1 Zn1 Co1 Sn1'
_space_group_name_H-M_alt 'P 1'
_space_group_IT_number 1
_cell_length_a 4.249
_cell_length_b 4.249
_cell_length_c 4.249
_cell_angle_alpha 60.00
_cell_angle_beta 60.00
_cell_angle_gamma 60.00
loop_
_space_group_symop_operation_xyz
'x,y,z'
loop_
_atom_site_label
_atom_site_type_symbol
_atom_site_fract_x
_atom_site_fract_y
_atom_site_fract_z
Co1 Co 0.250 0.250 0.250
Zn1 Zn 0.500 0.500 0.500
Sn1 Sn 0.000 0.000 0.000
Be1 Be 0.750 0.750 0.750
```

=====

Calculated relative energies: model i 0.158; model ii 0.000, given in eV/atom

=====

Model i:
The following is a DFT calculation (PBE) of an optimized crystal structure of ZrBeCoSn.

Computed properties:
Its space group is F-43m, No. 216. As for the volume: 16.0 Å³ per atom. The value obtained for the theoretical density is 7209 kg/m3.

Geometry as CIF:
```
data_ZrBeCoSn
_chemical_formula_sum 'Zr1 Be1 Co1 Sn1'
_space_group_name_H-M_alt 'P 1'
_space_group_IT_number 1
_cell_length_a 4.490
_cell_length_b 4.490
_cell_length_c 4.490
_cell_angle_alpha 60.00
_cell_angle_beta 60.00
_cell_angle_gamma 60.00
loop_
_space_group_symop_operation_xyz
'x,y,z'
loop_
_atom_site_label
_atom_site_type_symbol
_atom_site_fract_x
_atom_site_fract_y
_atom_site_fract_z
Zr1 Zr 0.250 0.250 0.250
Be1 Be 0.500 0.500 0.500
Co1 Co 0.750 0.750 0.750
Sn1 Sn 0.000 0.000 0.000
```

=====

Model ii:
The following is a DFT calculation (PBE) of an optimized crystal structure of ZrBeCoSn.

Computed properties:
Its space group is F-43m, No. 216. As for the volume: 15.2 Å³ per atom. The value obtained for the theoretical density is 7577 kg/m3.

Geometry as CIF:
```
data_ZrBeCoSn
_chemical_formula_sum 'Zr1 Be1 Co1 Sn1'
_space_group_name_H-M_alt 'P 1'
_space_group_IT_number 1
_cell_length_a 4.416
_cell_length_b 4.416
_cell_length_c 4.416
_cell_angle_alpha 60.00
_cell_angle_beta 60.00
_cell_angle_gamma 60.00
loop_
_space_group_symop_operation_xyz
'x,y,z'
loop_
_atom_site_label
_atom_site_type_symbol
_atom_site_fract_x
_atom_site_fract_y
_atom_site_fract_z
Sn1 Sn 0.000 0.000 0.000
Zr1 Zr 0.500 0.500 0.500
Be1 Be 0.250 0.250 0.250
Co1 Co 0.750 0.750 0.750
```

=====

Calculated relative energies: model i 0.289; model ii 0.000, given in eV/atom

=====

Model i:
The following is a DFT calculation (PBE) of an optimized crystal structure of SrTaBeCo.

Computed properties:
Its space group is F-43m, No. 216. As for the volume: 16.2 Å³ per atom. The value obtained for the theoretical density is 8617 kg/m3.

Geometry as CIF:
```
data_SrTaBeCo
_chemical_formula_sum 'Sr1 Ta1 Be1 Co1'
_space_group_name_H-M_alt 'P 1'
_space_group_IT_number 1
_cell_length_a 4.510
_cell_length_b 4.510
_cell_length_c 4.510
_cell_angle_alpha 60.00
_cell_angle_beta 60.00
_cell_angle_gamma 60.00
loop_
_space_group_symop_operation_xyz
'x,y,z'
loop_
_atom_site_label
_atom_site_type_symbol
_atom_site_fract_x
_atom_site_fract_y
_atom_site_fract_z
Be1 Be 0.750 0.750 0.750
Ta1 Ta 0.500 0.500 0.500
Sr1 Sr 0.250 0.250 0.250
Co1 Co 0.000 0.000 0.000
```

=====

Model ii:
The following is a DFT calculation (PBE) of an optimized crystal structure of SrTaBeCo.

Computed properties:
Its space group is F-43m, No. 216. As for the volume: 16.3 Å³ per atom. The value obtained for the theoretical density is 8562 kg/m3.

Geometry as CIF:
```
data_SrTaBeCo
_chemical_formula_sum 'Sr1 Ta1 Be1 Co1'
_space_group_name_H-M_alt 'P 1'
_space_group_IT_number 1
_cell_length_a 4.519
_cell_length_b 4.519
_cell_length_c 4.519
_cell_angle_alpha 60.00
_cell_angle_beta 60.00
_cell_angle_gamma 60.00
loop_
_space_group_symop_operation_xyz
'x,y,z'
loop_
_atom_site_label
_atom_site_type_symbol
_atom_site_fract_x
_atom_site_fract_y
_atom_site_fract_z
Sr1 Sr 0.000 0.000 0.000
Be1 Be 0.750 0.750 0.750
Co1 Co 0.500 0.500 0.500
Ta1 Ta 0.250 0.250 0.250
```

=====

Model iii:
The following is a DFT calculation (PBE) of an optimized crystal structure of SrTaBeCo.

Computed properties:
Its space group is F-43m, No. 216. As for the volume: 17.9 Å³ per atom. The value obtained for the theoretical density is 7818 kg/m3.

Geometry as CIF:
```
data_SrTaBeCo
_chemical_formula_sum 'Sr1 Ta1 Be1 Co1'
_space_group_name_H-M_alt 'P 1'
_space_group_IT_number 1
_cell_length_a 4.658
_cell_length_b 4.658
_cell_length_c 4.658
_cell_angle_alpha 60.00
_cell_angle_beta 60.00
_cell_angle_gamma 60.00
loop_
_space_group_symop_operation_xyz
'x,y,z'
loop_
_atom_site_label
_atom_site_type_symbol
_atom_site_fract_x
_atom_site_fract_y
_atom_site_fract_z
Be1 Be 0.750 0.750 0.750
Ta1 Ta 0.500 0.500 0.500
Co1 Co 0.250 0.250 0.250
Sr1 Sr 0.000 0.000 0.000
```

=====

Calculated relative energies: model i 0.414; model ii 0.095; model iii 0.000, given in eV/atom